The following is a DFT calculation (PBE-GGA) of a relaxed structure of LiAsRu2.

```
data_LiAsRu2
_chemical_formula_sum 'Li1 As1 Ru2'
_cell_length_a 2.840
_cell_length_b 4.202
_cell_length_c 4.952
_cell_angle_alpha 90.00
_cell_angle_beta 106.65
_cell_angle_gamma 90.00
_space_group_name_H-M_alt 'P 1 m 1'
_space_group_IT_number 6
_space_group_name_Hall 'P -2y'
loop_
_atom_site_label
_atom_site_type_symbol
_atom_site_fract_x
_atom_site_fract_y
_atom_site_fract_z
_atom_site_occupancy
Li1 Li 0.000 0.000 0.000 1
As1 As 0.404 0.500 0.808 1
Ru1 Ru 0.262 0.000 0.520 1
Ru2 Ru 0.664 0.500 0.329 1
```

ΔE_f: -41 meV/atom